Density functional theory data (PBE+U) for an optimized crystal structure of MgCoIO2.

abc: 3.930 3.930 5.468
angles: 90.00 90.00 90.00
Sites, in units of the cell vectors:
Mg  0.000  0.000  0.000
Co  0.500  0.500  0.500
I  0.500  0.500  0.000
O  0.000  0.500  0.500
O  0.500  0.000  0.500

**Energy above the most stable polymorph in this dataset**: 14 meV per atom
**Total DFT energy (no corrections)**: -3.95 eV/atom